# Co17Ge (PBE, optimized geometry)
# - total moment (μB/atom) = 1.5021
# - offset from the most stable computed form (meV/atom) = 0
# - final energy (eV per atom) = -6.873
data_Co17Ge
_cell_length_a 4.288
_cell_length_b 4.952
_cell_length_c 31.302
_cell_angle_alpha 90.00
_cell_angle_beta 90.02
_cell_angle_gamma 90.00
_space_group_name_H-M_alt 'P 1 21/m 1'
_space_group_IT_number 11
_space_group_name_Hall '-P 2yb'
loop_
_atom_site_label
_atom_site_fract_x
_atom_site_fract_y
_atom_site_fract_z
Co1 0.000 0.000 0.000
Co2 0.001 0.002 0.805
Co3 0.165 0.750 0.259
Co4 0.166 0.250 0.870
Co5 0.166 0.750 0.065
Co6 0.167 0.250 0.065
Co7 0.168 0.750 0.870
Co8 0.333 0.000 0.130
Co9 0.333 0.001 0.741
Co10 0.334 0.000 0.935
Co11 0.497 0.750 0.806
Co12 0.499 0.250 0.000
Co13 0.499 0.250 0.805
Ge1 0.168 0.250 0.265